Density functional theory data (PBE) for a relaxed structure of HfZr.

Computed properties:
formation energy from the elements = 0.0017 eV/atom
mass density = 9.8 g/cm³

a = 5.5674 Å, b = 5.1192 Å, c = 6.4158 Å
α = 90.00°, β = 90.00°, γ = 90.00°
With the nearest neighbours (Å) after each atom.
Positions (direct):
1 Hf 0.0808 0.2500 0.1255  4 Hf 3.16-3.21, 8 Zr 3.16-3.25
2 Hf 0.4192 0.7500 0.6255  4 Hf 3.16-3.21, 8 Zr 3.16-3.25
3 Hf 0.5808 0.2500 0.3745  4 Hf 3.16-3.21, 8 Zr 3.16-3.25
4 Hf 0.9192 0.7500 0.8745  4 Hf 3.16-3.21, 8 Zr 3.16-3.25
5 Zr 0.0874 0.2500 0.6250  8 Hf 3.16-3.25, 4 Zr 3.17-3.21
6 Zr 0.4126 0.7500 0.1250  8 Hf 3.16-3.25, 4 Zr 3.17-3.21
7 Zr 0.5874 0.2500 0.8750  8 Hf 3.16-3.25, 4 Zr 3.17-3.21
8 Zr 0.9126 0.7500 0.3750  8 Hf 3.16-3.25, 4 Zr 3.17-3.21